Zr6Mn2Tl: relaxed, PBE.

Cell and atoms, written as POSCAR:
```
Zr6Mn2Tl
1.0
7.426 0.271 -2.621
-4.142 6.429 -1.899
-0.198 -0.271 7.872
Zr Mn Tl
12 4 2
direct
0.787 0.758 0.545
0.213 0.242 0.455
0.787 0.242 0.028
0.087 0.284 0.803
0.481 0.284 0.197
0.689 0.369 0.680
0.213 0.758 0.972
0.311 0.990 0.680
0.311 0.631 0.320
0.689 0.010 0.320
0.519 0.716 0.803
0.913 0.716 0.197
0.500 0.609 0.109
0.500 0.391 0.891
0.664 0.000 0.664
0.336 0.000 0.336
0.000 0.000 0.000
0.000 0.500 0.500
```

Calculated total energy (eV per atom): -8.03
E_form (eV/atom): -0.03
Calculated density (Mg/m³): 7.6